# 1
A relaxed structure of CaTh2Rh, computed with PBE-GGA.

Properties
DOS(E_F): 5.25 states/eV/f.u.
Offset from the most stable computed form: 0 meV/atom
Formation enthalpy at 0 K: -0.28 eV/atom

Lattice parameters (Å, degrees): 3.988 3.988 28.894 90.00 90.00 120.00
Atoms (fractional coordinates):
Ca  0.000  0.000  0.000
Ca  0.333  0.667  0.667
Ca  0.667  0.333  0.333
Th  0.000  0.000  0.224
Th  0.000  0.000  0.443
Th  0.333  0.667  0.110
Th  0.333  0.667  0.891
Th  0.667  0.333  0.558
Th  0.667  0.333  0.776
Rh  0.000  0.000  0.834
Rh  0.333  0.667  0.501
Rh  0.667  0.333  0.167



# 2
A relaxed structure of Y2SiAg, computed with PBE-GGA.

Properties
Uncorrected formation energy: 163 meV/atom
DOS(E_F): 5.37 states/eV/f.u.

Lattice parameters (Å, degrees): 7.133 7.133 7.133 90.00 90.00 90.00
Atoms (fractional coordinates):
Y  0.000  0.000  0.000
Y  0.000  0.500  0.500
Y  0.250  0.250  0.250
Y  0.250  0.750  0.750
Y  0.500  0.000  0.500
Y  0.500  0.500  0.000
Y  0.750  0.250  0.750
Y  0.750  0.750  0.250
Si  0.250  0.250  0.750
Si  0.250  0.750  0.250
Si  0.750  0.250  0.250
Si  0.750  0.750  0.750
Ag  0.000  0.000  0.500
Ag  0.000  0.500  0.000
Ag  0.500  0.000  0.000
Ag  0.500  0.500  0.500



# 3
A relaxed structure of La8CuSi3I4, computed with PBE-GGA.

Properties
Uncorrected formation energy: -889 meV/atom
DOS(E_F): 11.82 states/eV/f.u.

Lattice parameters (Å, degrees): 9.284 9.284 9.284 56.83 56.83 56.83
Atoms (fractional coordinates):
La  0.233  0.736  0.736
La  0.234  0.234  0.234
La  0.264  0.264  0.767
La  0.264  0.767  0.264
La  0.736  0.233  0.736
La  0.736  0.736  0.233
La  0.766  0.766  0.766
La  0.767  0.264  0.264
Cu  0.500  0.500  0.500
Si  0.000  0.000  0.500
Si  0.000  0.500  0.000
Si  0.500  0.000  0.000
I  0.000  0.000  0.000
I  0.000  0.500  0.500
I  0.500  0.000  0.500
I  0.500  0.500  0.000



What is the DOS(E_F) in the third record?
11.82 states/eV/f.u.